# 1
Entry from the Alexandria database: an optimized crystal structure of Sm2Sc2Bi2P (PBE).

Values from the calculation:
As for the crystal system: tetragonal. The value obtained for the energy is -5.9424 eV/atom. As for the total magnetization: 0.0 μB per cell.

Unit cell a=4.8519 b=4.8519 c=8.9065 alpha=105.81 beta=105.81 gamma=90.00
Sites, in units of the cell vectors:
1 Sm 0.1683 0.1683 0.3365
2 Sm 0.8317 0.8317 0.6635
3 Sc 0.0000 0.5000 0.0000
4 Sc 0.5000 0.0000 0.0000
5 Bi 0.3660 0.3660 0.7320
6 Bi 0.6340 0.6340 0.2680
7 P 0.0000 0.0000 0.0000



# 2
Entry from the Alexandria database: an optimized crystal structure of YInGe (PBE).

Values from the calculation:
As for the crystal system: tetragonal. The value obtained for the energy is -4.9017 eV/atom. As for the total magnetization: 0.0 μB per cell.

Unit cell a=3.5980 b=3.5980 c=6.0864 alpha=107.19 beta=107.19 gamma=90.00
Sites, in units of the cell vectors:
1 Y 0.6242 0.6242 0.2484
2 Ge 0.2948 0.2948 0.5897
3 In 0.9310 0.9310 0.8620



# 3
Entry from the Alexandria database: an optimized crystal structure of NaCa5Pb3 (PBE).

Values from the calculation:
As for the crystal system: hexagonal. The value obtained for the energy is -2.9769 eV/atom. As for the total magnetization: 0.0 μB per cell.

Unit cell a=7.1052 b=9.5605 c=9.5607 alpha=120.00 beta=90.00 gamma=90.00
Sites, in units of the cell vectors:
1 Na 0.0000 0.0000 0.0000
2 Na 0.5000 0.0000 0.0000
3 Ca 0.0000 0.6667 0.3334
4 Ca 0.5000 0.3333 0.6666
5 Ca 0.0000 0.3333 0.6666
6 Ca 0.5000 0.6667 0.3334
7 Ca 0.7500 0.6859 0.6859
8 Ca 0.7500 0.0000 0.3141
9 Ca 0.7500 0.3140 0.0000
10 Ca 0.2500 0.3141 0.3141
11 Ca 0.2500 0.0000 0.6859
12 Ca 0.2500 0.6860 0.0000
13 Pb 0.7500 0.3510 0.3510
14 Pb 0.7500 0.0000 0.6490
15 Pb 0.7500 0.6490 0.0000
16 Pb 0.2500 0.6490 0.6490
17 Pb 0.2500 0.0000 0.3510
18 Pb 0.2500 0.3510 0.0000



# 4
Entry from the Alexandria database: an optimized crystal structure of TlZnIn2 (PBE).

Values from the calculation:
As for the crystal system: orthorhombic. The value obtained for the energy is -2.1945 eV/atom. As for the total magnetization: 0.0 μB per cell.

Unit cell a=3.3266 b=3.3266 c=9.3356 alpha=90.00 beta=90.00 gamma=100.15
Sites, in units of the cell vectors:
1 In 0.0000 0.0000 0.9704
2 In 0.5000 0.5000 0.2392
3 Tl 0.0000 0.0000 0.5296
4 Zn 0.5000 0.5000 0.7608



# 5
Entry from the Alexandria database: an optimized crystal structure of Sc4O (PBE).

Values from the calculation:
As for the crystal system: orthorhombic. The value obtained for the energy is -7.2135 eV/atom. For the formation energy without anion corrections, the calculation gives -1.16 eV per atom. The value obtained for the energy above the most stable polymorph in this dataset is 0 meV per atom. As for the total magnetization: 3.7 μB per cell.

Unit cell a=5.2432 b=6.4836 c=6.5775 alpha=60.52 beta=90.00 gamma=90.00
Site moments in Bohr magnetons follow the coordinates.
Sites, in units of the cell vectors:
1 Sc 0.7500 0.8229 0.8540  0.25
2 Sc 0.7701 0.3352 0.3304  0.28
3 Sc 0.2500 0.1771 0.1460  0.25
4 Sc 0.2500 0.6771 0.1460  0.25
5 Sc 0.2299 0.6649 0.6696  0.28
6 Sc 0.2702 0.1648 0.6696  0.28
7 Sc 0.7500 0.3229 0.8540  0.25
8 Sc 0.7298 0.8352 0.3304  0.28
9 O 0.0000 0.5000 0.0000  -0.01
10 O 0.5000 0.0000 0.0000  -0.01



# 6
Entry from the Alexandria database: an optimized crystal structure of YSn3Au (PBE).

Values from the calculation:
As for the crystal system: cubic. The value obtained for the energy is -4.1965 eV/atom. The value obtained for the energy above the most stable polymorph in this dataset is 578 meV per atom. As for the total magnetization: 0.0 μB per cell.

Unit cell a=5.3719 b=5.3719 c=5.3719 alpha=90.00 beta=90.00 gamma=90.00
Sites, in units of the cell vectors:
1 Y 0.5000 0.5000 0.5000
2 Au 0.0000 0.0000 0.0000
3 Sn 0.0000 0.5000 0.0000
4 Sn 0.0000 0.0000 0.5000
5 Sn 0.5000 0.0000 0.0000



# 7
Entry from the Alexandria database: an optimized crystal structure of GaFePS2 (PBE).

Values from the calculation:
As for the crystal system: tetragonal. The value obtained for the energy is -4.7008 eV/atom. For the formation energy without anion corrections, the calculation gives 0.33 eV per atom. The value obtained for the energy above the most stable polymorph in this dataset is 0 meV per atom. As for the total magnetization: 1.7 μB per cell.

Unit cell a=4.6360 b=4.6360 c=4.1567 alpha=90.00 beta=90.00 gamma=90.00
Site moments in Bohr magnetons follow the coordinates.
Sites, in units of the cell vectors:
1 P 0.0000 0.0000 0.5000  -0.09
2 S 0.0000 0.5000 0.0000  0.13
3 S 0.5000 0.0000 0.0000  0.13
4 Fe 0.0000 0.0000 0.0000  1.38
5 Ga 0.5000 0.5000 0.5000  0.01



# 8
Entry from the Alexandria database: an optimized crystal structure of LiAlCrRu (PBE).

Values from the calculation:
As for the crystal system: cubic. The value obtained for the energy is -6.3425 eV/atom. As for the total magnetization: 0.0 μB per cell.

Unit cell a=4.1657 b=4.1657 c=4.1657 alpha=60.00 beta=60.00 gamma=60.00
Sites, in units of the cell vectors:
1 Ru 0.2500 0.2500 0.2500
2 Li 0.7500 0.7500 0.7500
3 Al 0.0000 0.0000 0.0000
4 Cr 0.5000 0.5000 0.5000